# 1
# PBE LaSc2Sn, optimized geometry
# - Raw total energy: -5.424 eV/atom
# - V: 26.8 A^3/atom
# - Fermi-level density of states: 20.1 states/eV per cell
data_LaSc2Sn
_symmetry_space_group_name_H-M 'R -3 m'
_symmetry_Int_Tables_number 166
_symmetry_space_group_name_Hall '-R 3 2"'
_cell_length_a 3.3203
_cell_length_b 3.3203
_cell_length_c 33.6698
_cell_angle_alpha 90.00
_cell_angle_beta 90.00
_cell_angle_gamma 120.00
loop_
_atom_site_label
_atom_site_type_symbol
_atom_site_fract_x
_atom_site_fract_y
_atom_site_fract_z
La1 La 0.0000 0.0000 0.0000
Sc1 Sc 0.0000 0.0000 0.0950
Sn1 Sn 0.0000 0.0000 0.5000

***

# 2
# PBE Ba2PPb, optimized geometry
# - E above lowest polymorph: 276 meV/atom
# - V: 38.8 A^3/atom
# - Fermi-level density of states: 3.0 states/eV per cell
data_Ba2PPb
_symmetry_space_group_name_H-M 'P m m 2'
_symmetry_Int_Tables_number 25
_symmetry_space_group_name_Hall 'P 2 -2'
_cell_length_a 3.933
_cell_length_b 5.713
_cell_length_c 6.904
_cell_angle_alpha 90.00
_cell_angle_beta 90.00
_cell_angle_gamma 90.00
loop_
_atom_site_label
_atom_site_type_symbol
_atom_site_fract_x
_atom_site_fract_y
_atom_site_fract_z
Ba1 Ba 0.000 0.000 0.000
Ba2 Ba 0.500 0.500 0.499
P1 P 0.000 0.000 0.500
Pb1 Pb 0.500 0.500 0.999

***

# 3
# PBE LaNdScCu, optimized geometry
# - Raw total energy: -4.888 eV/atom
# - V: 26.7 A^3/atom
# - Fermi-level density of states: 15.6 states/eV per cell
data_LaNdScCu
_symmetry_space_group_name_H-M 'F -4 3 m'
_symmetry_Int_Tables_number 216
_symmetry_space_group_name_Hall 'F -4 2 3'
_cell_length_a 7.536
_cell_length_b 7.536
_cell_length_c 7.536
_cell_angle_alpha 90.00
_cell_angle_beta 90.00
_cell_angle_gamma 90.00
loop_
_atom_site_label
_atom_site_type_symbol
_atom_site_fract_x
_atom_site_fract_y
_atom_site_fract_z
La1 La 0.000 0.000 0.000
Nd1 Nd 0.000 0.000 0.500
Sc1 Sc 0.250 0.250 0.750
Cu1 Cu 0.250 0.250 0.250

***

# 4
# PBE VSnIr2N, optimized geometry
# - Energy relative to the elements, uncorrected: 201 kJ/mol of atoms
# - V: 19.2 A^3/atom
# - Fermi-level density of states: 11.2 states/eV per cell
data_VSnIr2N
_symmetry_space_group_name_H-M 'P 4/m m m'
_symmetry_Int_Tables_number 123
_symmetry_space_group_name_Hall '-P 4 2'
_cell_length_a 4.949
_cell_length_b 4.949
_cell_length_c 3.926
_cell_angle_alpha 90.00
_cell_angle_beta 90.00
_cell_angle_gamma 90.00
loop_
_atom_site_label
_atom_site_type_symbol
_atom_site_fract_x
_atom_site_fract_y
_atom_site_fract_z
V1 V 0.000 0.000 0.000
Sn1 Sn 0.500 0.500 0.500
Ir1 Ir 0.000 0.500 0.500
N1 N 0.500 0.500 0.000

***

# 5
# PBE LaAlCo2, optimized geometry
# - Raw total energy: -5.703 eV/atom
# - V: 17.6 A^3/atom
# - Fermi-level density of states: 6.5 states/eV per cell
data_LaAlCo2
_symmetry_space_group_name_H-M 'C 1 m 1'
_symmetry_Int_Tables_number 8
_symmetry_space_group_name_Hall 'C -2y'
_cell_length_a 8.647
_cell_length_b 3.042
_cell_length_c 5.432
_cell_angle_alpha 90.00
_cell_angle_beta 100.68
_cell_angle_gamma 90.00
loop_
_atom_site_label
_atom_site_type_symbol
_atom_site_fract_x
_atom_site_fract_y
_atom_site_fract_z
La1 La 0.000 0.000 0.000
Al1 Al 0.217 0.000 0.572
Co1 Co 0.306 0.500 0.283
Co2 Co 0.496 0.000 0.528

***

# 6
# PBE Tb3Al, optimized geometry
# - Raw total energy: -4.593 eV/atom
# - V: 27.3 A^3/atom
# - Fermi-level density of states: 6.5 states/eV per cell
data_Tb3Al
_symmetry_space_group_name_H-M 'P m -3 m'
_symmetry_Int_Tables_number 221
_symmetry_space_group_name_Hall '-P 4 2 3'
_cell_length_a 4.780
_cell_length_b 4.780
_cell_length_c 4.780
_cell_angle_alpha 90.00
_cell_angle_beta 90.00
_cell_angle_gamma 90.00
loop_
_atom_site_label
_atom_site_type_symbol
_atom_site_fract_x
_atom_site_fract_y
_atom_site_fract_z
Tb1 Tb 0.000 0.000 0.500
Al1 Al 0.500 0.500 0.500

***

# 7
# PBE BaZrS2N, optimized geometry
# - E above lowest polymorph: 0 meV/atom
# - Energy relative to the elements, uncorrected: -123 kJ/mol of atoms
# - V: 22.7 A^3/atom
# - Fermi-level density of states: 2.2 states/eV per cell
data_BaZrS2N
_symmetry_space_group_name_H-M 'P 4/m m m'
_symmetry_Int_Tables_number 123
_symmetry_space_group_name_Hall '-P 4 2'
_cell_length_a 5.159
_cell_length_b 5.159
_cell_length_c 4.268
_cell_angle_alpha 90.00
_cell_angle_beta 90.00
_cell_angle_gamma 90.00
loop_
_atom_site_label
_atom_site_type_symbol
_atom_site_fract_x
_atom_site_fract_y
_atom_site_fract_z
Ba1 Ba 0.000 0.000 0.000
Zr1 Zr 0.500 0.500 0.500
S1 S 0.000 0.500 0.500
N1 N 0.500 0.500 0.000

***

# 8
# PBE ZnGaNi, optimized geometry
# - Raw total energy: -3.629 eV/atom
# - V: 15.4 A^3/atom
# - Fermi-level density of states: 1.2 states/eV per cell
data_ZnGaNi
_symmetry_space_group_name_H-M 'P m m m'
_symmetry_Int_Tables_number 47
_symmetry_space_group_name_Hall '-P 2 2'
_cell_length_a 2.640
_cell_length_b 4.101
_cell_length_c 4.262
_cell_angle_alpha 90.00
_cell_angle_beta 90.00
_cell_angle_gamma 90.00
loop_
_atom_site_label
_atom_site_type_symbol
_atom_site_fract_x
_atom_site_fract_y
_atom_site_fract_z
Zn1 Zn 0.000 0.000 0.000
Ga1 Ga 0.000 0.500 0.500
Ni1 Ni 0.500 0.000 0.500

***

# 9
# PBE La6Cu2Ir, optimized geometry
# - Raw total energy: -5.418 eV/atom
# - V: 31.2 A^3/atom
# - Fermi-level density of states: 21.2 states/eV per cell
data_La6Cu2Ir
_symmetry_space_group_name_H-M 'P 1 21/c 1'
_symmetry_Int_Tables_number 14
_symmetry_space_group_name_Hall '-P 2ybc'
_cell_length_a 6.917
_cell_length_b 7.577
_cell_length_c 12.386
_cell_angle_alpha 90.00
_cell_angle_beta 120.13
_cell_angle_gamma 90.00
loop_
_atom_site_label
_atom_site_type_symbol
_atom_site_fract_x
_atom_site_fract_y
_atom_site_fract_z
La1 La 0.104 0.046 0.255
La2 La 0.244 0.678 0.073
La3 La 0.393 0.192 0.069
Cu1 Cu 0.329 0.106 0.770
Ir1 Ir 0.000 0.000 0.000

***

# 10
# PBE La3YSb4, optimized geometry
# - Energy relative to the elements, uncorrected: -120 kJ/mol of atoms
# - V: 33.7 A^3/atom
# - Fermi-level density of states: 1.8 states/eV per cell
data_La3YSb4
_symmetry_space_group_name_H-M 'C m m m'
_symmetry_Int_Tables_number 65
_symmetry_space_group_name_Hall '-C 2 2'
_cell_length_a 9.131
_cell_length_b 12.915
_cell_length_c 4.574
_cell_angle_alpha 90.00
_cell_angle_beta 90.00
_cell_angle_gamma 90.00
loop_
_atom_site_label
_atom_site_type_symbol
_atom_site_fract_x
_atom_site_fract_y
_atom_site_fract_z
La1 La 0.000 0.000 0.000
La2 La 0.250 0.250 0.500
Y1 Y 0.000 0.500 0.000
Sb1 Sb 0.000 0.254 0.000
Sb2 Sb 0.242 0.500 0.500